[1]
# NpGa6Sn

An optimized crystal structure of NpGa6Sn (GGA-PBE, Alexandria via LeMat-Bulk).

Cell: 3.987 6.389 6.389 Å, 90.00 90.00 90.00°
Each line ends with the local moment (μB).
Positions (direct):
1 Np 0.500 0.500 0.500  3.93
2 Ga 0.000 0.754 0.246  0.03
3 Ga 0.000 0.246 0.754  0.03
4 Ga 0.000 0.754 0.754  0.03
5 Ga 0.000 0.246 0.246  0.03
6 Ga 0.500 0.500 0.000  0.03
7 Ga 0.500 0.000 0.500  0.03
8 Sn 0.500 0.000 0.000  -0.01

Calculated values
As for the volume: 20.34 Å³/atom. The calculation puts the magnetization at 4.60 μB/f.u. Its final energy is -4.39 eV per atom. For the formation energy, the calculation gives -0.004 eV/atom.


[2]
# PrEuTm2

An optimized crystal structure of PrEuTm2 (GGA-PBE, Alexandria via LeMat-Bulk).

Cell: 3.658 3.658 10.162 Å, 90.00 90.00 90.00°
Each line ends with the local moment (μB).
Positions (direct):
1 Eu 0.500 0.500 0.500  -6.96
2 Pr 0.500 0.500 0.000  0.00
3 Tm 0.000 0.000 0.761  -0.18
4 Tm 0.000 0.000 0.239  -0.18

Calculated values
As for the volume: 33.99 Å³/atom. The calculation puts the magnetization at 7.88 μB/f.u. For the relative energy among the computed polymorphs, the calculation gives 11 meV per atom. Its final energy is -5.92 eV per atom. For the formation energy, the calculation gives 0.075 eV/atom.